# KMg6SiO8 GGA-PBE optimized geometry
data_KMg6SiO8
_chemical_formula_sum 'K1 Mg6 Si1 O8'
_space_group_name_H-M_alt 'P 4/m m m'
_space_group_IT_number 123
_space_group_name_Hall '-P 4 2'
_cell_length_a 4.564
_cell_length_b 4.564
_cell_length_c 8.363
_cell_angle_alpha 90.00
_cell_angle_beta 90.00
_cell_angle_gamma 90.00
loop_
_atom_site_label
_atom_site_type_symbol
_atom_site_fract_x
_atom_site_fract_y
_atom_site_fract_z
_atom_site_occupancy
K1 K 0.000 0.000 0.000 1
Mg1 Mg 0.000 0.500 0.247 1
Mg2 Mg 0.500 0.500 0.000 1
Mg3 Mg 0.500 0.500 0.500 1
Si1 Si 0.000 0.000 0.500 1
O1 O 0.000 0.000 0.292 1
O2 O 0.000 0.500 0.000 1
O3 O 0.000 0.500 0.500 1
O4 O 0.500 0.500 0.253 1
# Excess energy over the best structure of this formula in the dataset, meV/atom: 0
# Size of the total moment, μB/cell: 0.184
# Electronic total energy, eV per cell: -90.17
# Raw formation energy, eV per atom: -2.15


# K2MgSiO GGA-PBE optimized geometry
data_K2MgSiO
_chemical_formula_sum 'K2 Mg1 Si1 O1'
_space_group_name_H-M_alt 'P 4/m m m'
_space_group_IT_number 123
_space_group_name_Hall '-P 4 2'
_cell_length_a 6.443
_cell_length_b 6.443
_cell_length_c 4.916
_cell_angle_alpha 90.00
_cell_angle_beta 90.00
_cell_angle_gamma 90.00
loop_
_atom_site_label
_atom_site_type_symbol
_atom_site_fract_x
_atom_site_fract_y
_atom_site_fract_z
_atom_site_occupancy
K1 K 0.000 0.500 0.000 1
Mg1 Mg 0.000 0.000 0.500 1
Si1 Si 0.000 0.000 0.000 1
O1 O 0.500 0.500 0.500 1
# Size of the total moment, μB/cell: 1.959
# Electronic total energy, eV per cell: -12.40
# Raw formation energy, eV per atom: 0.35


# K2MgSiO4 GGA-PBE optimized geometry
data_K2MgSiO4
_chemical_formula_sum 'K4 Mg2 Si2 O8'
_space_group_name_H-M_alt 'P -1'
_space_group_IT_number 2
_space_group_name_Hall '-P 1'
_cell_length_a 5.149
_cell_length_b 6.580
_cell_length_c 10.227
_cell_angle_alpha 79.55
_cell_angle_beta 76.98
_cell_angle_gamma 68.45
loop_
_atom_site_label
_atom_site_type_symbol
_atom_site_fract_x
_atom_site_fract_y
_atom_site_fract_z
_atom_site_occupancy
K1 K 0.139 0.241 0.414 1
K2 K 0.206 0.740 0.913 1
Mg1 Mg 0.479 0.749 0.247 1
Si1 Si 0.020 0.254 0.753 1
O1 O 0.073 0.931 0.300 1
O2 O 0.217 0.150 0.872 1
O3 O 0.229 0.358 0.634 1
O4 O 0.295 0.562 0.196 1
# Excess energy over the best structure of this formula in the dataset, meV/atom: 98
# Size of the total moment, μB/cell: 0.000
# Electronic total energy, eV per cell: -95.66
# Raw formation energy, eV per atom: -2.35


# K2MgSiO4 GGA-PBE optimized geometry
data_K2MgSiO4
_chemical_formula_sum 'K16 Mg8 Si8 O32'
_space_group_name_H-M_alt 'P c a 21'
_space_group_IT_number 29
_space_group_name_Hall 'P 2c -2ac'
_cell_length_a 11.111
_cell_length_b 5.539
_cell_length_c 15.778
_cell_angle_alpha 90.00
_cell_angle_beta 90.00
_cell_angle_gamma 90.00
loop_
_atom_site_label
_atom_site_type_symbol
_atom_site_fract_x
_atom_site_fract_y
_atom_site_fract_z
_atom_site_occupancy
K1 K 0.008 0.006 0.123 1
K2 K 0.010 0.504 0.500 1
K3 K 0.235 0.551 0.876 1
K4 K 0.239 0.043 0.746 1
Mg1 Mg 0.010 0.508 0.251 1
Mg2 Mg 0.239 0.031 0.998 1
Si1 Si 0.008 0.009 0.373 1
Si2 Si 0.235 0.526 0.626 1
O1 O 0.012 0.279 0.849 1
O2 O 0.021 0.825 0.788 1
O3 O 0.085 0.918 0.951 1
O4 O 0.105 0.412 0.660 1
O5 O 0.148 0.060 0.404 1
O6 O 0.174 0.556 0.208 1
O7 O 0.207 0.340 0.055 1
O8 O 0.209 0.793 0.583 1
# Excess energy over the best structure of this formula in the dataset, meV/atom: 0
# Size of the total moment, μB/cell: 0.000
# Electronic total energy, eV per cell: -388.91
# Raw formation energy, eV per atom: -2.45


# K2Mg2Si2O7 GGA-PBE optimized geometry
data_K2Mg2Si2O7
_chemical_formula_sum 'K2 Mg2 Si2 O7'
_space_group_name_H-M_alt 'P -3 1 m'
_space_group_IT_number 162
_space_group_name_Hall '-P 3 2'
_cell_length_a 5.1496
_cell_length_b 5.1496
_cell_length_c 6.6541
_cell_angle_alpha 90.00
_cell_angle_beta 90.00
_cell_angle_gamma 120.00
loop_
_atom_site_label
_atom_site_type_symbol
_atom_site_fract_x
_atom_site_fract_y
_atom_site_fract_z
_atom_site_occupancy
K1 K 0.3333 0.6667 0.0000 1
Mg1 Mg 0.3333 0.6667 0.5000 1
Si1 Si 0.0000 0.0000 0.2578 1
O1 O 0.0000 0.0000 0.0000 1
O2 O 0.0000 0.3100 0.6813 1
# Size of the total moment, μB/cell: 0.000
# Electronic total energy, eV per cell: -84.27
# Raw formation energy, eV per atom: -2.56


# K2Mg3Zn2Si12O30 GGA-PBE optimized geometry
data_K2Mg3Zn2Si12O30
_chemical_formula_sum 'K8 Mg12 Zn8 Si48 O120'
_space_group_name_H-M_alt 'C 1 2 1'
_space_group_IT_number 5
_space_group_name_Hall 'C 2y'
_cell_length_a 17.930
_cell_length_b 10.357
_cell_length_c 14.346
_cell_angle_alpha 90.00
_cell_angle_beta 90.02
_cell_angle_gamma 90.00
loop_
_atom_site_label
_atom_site_type_symbol
_atom_site_fract_x
_atom_site_fract_y
_atom_site_fract_z
_atom_site_occupancy
K1 K 0.000 0.000 0.000 1
K2 K 0.000 0.000 0.500 1
K3 K 0.166 0.500 0.248 1
Mg1 Mg 0.166 0.501 0.995 1
Mg2 Mg 0.167 0.500 0.505 1
Mg3 Mg 0.248 0.248 0.000 1
Zn1 Zn 0.000 0.502 0.000 1
Zn2 Zn 0.000 0.502 0.500 1
Zn3 Zn 0.249 0.250 0.500 1
Si1 Si 0.055 0.710 0.362 1
Si2 Si 0.055 0.711 0.138 1
Si3 Si 0.056 0.294 0.639 1
Si4 Si 0.056 0.294 0.861 1
Si5 Si 0.117 0.228 0.138 1
Si6 Si 0.118 0.227 0.362 1
Si7 Si 0.119 0.769 0.862 1
Si8 Si 0.119 0.770 0.639 1
Si9 Si 0.173 0.063 0.638 1
Si10 Si 0.173 0.063 0.862 1
Si11 Si 0.175 0.937 0.361 1
Si12 Si 0.176 0.937 0.138 1
O1 O 0.029 0.241 0.113 1
O2 O 0.029 0.244 0.388 1
O3 O 0.030 0.754 0.612 1
O4 O 0.030 0.755 0.888 1
O5 O 0.061 0.322 0.750 1
O6 O 0.062 0.681 0.250 1
O7 O 0.077 0.419 0.577 1
O8 O 0.077 0.419 0.922 1
O9 O 0.078 0.582 0.419 1
O10 O 0.078 0.583 0.081 1
O11 O 0.108 0.169 0.612 1
O12 O 0.108 0.834 0.387 1
O13 O 0.108 0.835 0.113 1
O14 O 0.110 0.170 0.888 1
O15 O 0.128 0.252 0.250 1
O16 O 0.131 0.747 0.750 1
O17 O 0.137 0.922 0.613 1
O18 O 0.137 0.922 0.887 1
O19 O 0.138 0.078 0.388 1
O20 O 0.140 0.079 0.111 1
O21 O 0.170 0.327 0.081 1
O22 O 0.170 0.327 0.419 1
O23 O 0.171 0.675 0.577 1
O24 O 0.171 0.677 0.923 1
O25 O 0.191 0.067 0.750 1
O26 O 0.192 0.931 0.250 1
O27 O 0.248 0.905 0.077 1
O28 O 0.248 0.907 0.423 1
O29 O 0.249 0.092 0.581 1
O30 O 0.249 0.092 0.919 1
# Size of the total moment, μB/cell: 0.000
# Electronic total energy, eV per cell: -1416.14
# Raw formation energy, eV per atom: -2.67


# K3Mg2TaO6 GGA-PBE optimized geometry
data_K3Mg2TaO6
_chemical_formula_sum 'K6 Mg4 Ta2 O12'
_space_group_name_H-M_alt 'C 1 2/m 1'
_space_group_IT_number 12
_space_group_name_Hall '-C 2y'
_cell_length_a 5.507
_cell_length_b 9.548
_cell_length_c 6.392
_cell_angle_alpha 90.00
_cell_angle_beta 106.59
_cell_angle_gamma 90.00
loop_
_atom_site_label
_atom_site_type_symbol
_atom_site_fract_x
_atom_site_fract_y
_atom_site_fract_z
_atom_site_occupancy
K1 K 0.000 0.000 0.000 1
K2 K 0.000 0.328 0.000 1
Mg1 Mg 0.000 0.166 0.500 1
Ta1 Ta 0.000 0.500 0.500 1
O1 O 0.216 0.344 0.677 1
O2 O 0.248 0.000 0.679 1
# Size of the total moment, μB/cell: 0.000
# Electronic total energy, eV per cell: -151.50
# Raw formation energy, eV per atom: -2.31


# K2Mg2TaO6 GGA-PBE optimized geometry
data_K2Mg2TaO6
_chemical_formula_sum 'K4 Mg4 Ta2 O12'
_space_group_name_H-M_alt 'C 1 2/m 1'
_space_group_IT_number 12
_space_group_name_Hall '-C 2y'
_cell_length_a 5.436
_cell_length_b 9.384
_cell_length_c 6.566
_cell_angle_alpha 90.00
_cell_angle_beta 107.78
_cell_angle_gamma 90.00
loop_
_atom_site_label
_atom_site_type_symbol
_atom_site_fract_x
_atom_site_fract_y
_atom_site_fract_z
_atom_site_occupancy
K1 K 0.000 0.171 0.000 1
Mg1 Mg 0.000 0.337 0.500 1
Ta1 Ta 0.000 0.000 0.500 1
O1 O 0.217 0.160 0.670 1
O2 O 0.249 0.500 0.670 1
# Size of the total moment, μB/cell: 2.202
# Electronic total energy, eV per cell: -143.87
# Raw formation energy, eV per atom: -2.27


# KMg2Ta2O7 GGA-PBE optimized geometry
data_KMg2Ta2O7
_chemical_formula_sum 'K2 Mg4 Ta4 O14'
_space_group_name_H-M_alt 'I 4/m m m'
_space_group_IT_number 139
_space_group_name_Hall '-I 4 2'
_cell_length_a 4.061
_cell_length_b 4.061
_cell_length_c 17.552
_cell_angle_alpha 90.00
_cell_angle_beta 90.00
_cell_angle_gamma 90.00
loop_
_atom_site_label
_atom_site_type_symbol
_atom_site_fract_x
_atom_site_fract_y
_atom_site_fract_z
_atom_site_occupancy
K1 K 0.000 0.000 0.000 1
Mg1 Mg 0.000 0.500 0.250 1
Ta1 Ta 0.000 0.000 0.387 1
O1 O 0.000 0.000 0.266 1
O2 O 0.000 0.000 0.500 1
O3 O 0.000 0.500 0.121 1
# Size of the total moment, μB/cell: 0.000
# Electronic total energy, eV per cell: -189.30
# Raw formation energy, eV per atom: -2.66


# KMgTaO4 GGA-PBE optimized geometry
data_KMgTaO4
_chemical_formula_sum 'K2 Mg2 Ta2 O8'
_space_group_name_H-M_alt 'P 1 21/m 1'
_space_group_IT_number 11
_space_group_name_Hall '-P 2yb'
_cell_length_a 5.693
_cell_length_b 5.807
_cell_length_c 7.920
_cell_angle_alpha 90.00
_cell_angle_beta 110.16
_cell_angle_gamma 90.00
loop_
_atom_site_label
_atom_site_type_symbol
_atom_site_fract_x
_atom_site_fract_y
_atom_site_fract_z
_atom_site_occupancy
K1 K 0.016 0.250 0.142 1
Mg1 Mg 0.151 0.750 0.469 1
Ta1 Ta 0.411 0.250 0.651 1
O1 O 0.191 0.010 0.658 1
O2 O 0.242 0.750 0.214 1
O3 O 0.433 0.250 0.425 1
# Size of the total moment, μB/cell: 0.000
# Electronic total energy, eV per cell: -103.30
# Raw formation energy, eV per atom: -2.47


# KMgTaO2 GGA-PBE optimized geometry
data_KMgTaO2
_chemical_formula_sum 'K1 Mg1 Ta1 O2'
_space_group_name_H-M_alt 'P 4/m m m'
_space_group_IT_number 123
_space_group_name_Hall '-P 4 2'
_cell_length_a 4.279
_cell_length_b 4.279
_cell_length_c 5.188
_cell_angle_alpha 90.00
_cell_angle_beta 90.00
_cell_angle_gamma 90.00
loop_
_atom_site_label
_atom_site_type_symbol
_atom_site_fract_x
_atom_site_fract_y
_atom_site_fract_z
_atom_site_occupancy
K1 K 0.000 0.000 0.000 1
Mg1 Mg 0.500 0.500 0.500 1
Ta1 Ta 0.500 0.500 0.000 1
O1 O 0.000 0.500 0.500 1
# Size of the total moment, μB/cell: 3.640
# Electronic total energy, eV per cell: -20.98
# Raw formation energy, eV per atom: 0.70


# KTbMgO3 GGA-PBE optimized geometry
data_KTbMgO3
_chemical_formula_sum 'K2 Tb2 Mg2 O6'
_space_group_name_H-M_alt 'P 1 21/m 1'
_space_group_IT_number 11
_space_group_name_Hall '-P 2yb'
_cell_length_a 7.300
_cell_length_b 3.564
_cell_length_c 9.596
_cell_angle_alpha 90.00
_cell_angle_beta 111.19
_cell_angle_gamma 90.00
loop_
_atom_site_label
_atom_site_type_symbol
_atom_site_fract_x
_atom_site_fract_y
_atom_site_fract_z
_atom_site_occupancy
K1 K 0.193 0.250 0.158 1
Tb1 Tb 0.327 0.750 0.859 1
Mg1 Mg 0.044 0.250 0.614 1
O1 O 0.104 0.250 0.833 1
O2 O 0.153 0.750 0.595 1
O3 O 0.459 0.750 0.112 1
# Size of the total moment, μB/cell: 0.000
# Electronic total energy, eV per cell: -75.36
# Raw formation energy, eV per atom: -2.58


# K2MgTeO4 GGA-PBE optimized geometry
data_K2MgTeO4
_chemical_formula_sum 'K4 Mg2 Te2 O8'
_space_group_name_H-M_alt 'I -4'
_space_group_IT_number 82
_space_group_name_Hall 'I -4'
_cell_length_a 5.988
_cell_length_b 5.988
_cell_length_c 8.276
_cell_angle_alpha 90.00
_cell_angle_beta 90.00
_cell_angle_gamma 90.00
loop_
_atom_site_label
_atom_site_type_symbol
_atom_site_fract_x
_atom_site_fract_y
_atom_site_fract_z
_atom_site_occupancy
K1 K 0.000 0.000 0.000 1
K2 K 0.000 0.500 0.250 1
Mg1 Mg 0.000 0.000 0.500 1
Te1 Te 0.000 0.500 0.750 1
O1 O 0.150 0.244 0.626 1
# Size of the total moment, μB/cell: 0.000
# Electronic total energy, eV per cell: -78.75
# Raw formation energy, eV per atom: -1.58


# K3MgTe2O9 GGA-PBE optimized geometry
data_K3MgTe2O9
_chemical_formula_sum 'K3 Mg1 Te2 O9'
_space_group_name_H-M_alt 'P -3 m 1'
_space_group_IT_number 164
_space_group_name_Hall '-P 3 2"'
_cell_length_a 5.7154
_cell_length_b 5.7154
_cell_length_c 7.0319
_cell_angle_alpha 90.00
_cell_angle_beta 90.00
_cell_angle_gamma 120.00
loop_
_atom_site_label
_atom_site_type_symbol
_atom_site_fract_x
_atom_site_fract_y
_atom_site_fract_z
_atom_site_occupancy
K1 K 0.0000 0.0000 0.0000 1
K2 K 0.3333 0.6667 0.6605 1
Mg1 Mg 0.0000 0.0000 0.5000 1
Te1 Te 0.3333 0.6667 0.1753 1
O1 O 0.0000 0.5000 0.0000 1
O2 O 0.1721 0.3441 0.3202 1
# Size of the total moment, μB/cell: 0.000
# Electronic total energy, eV per cell: -76.44
# Raw formation energy, eV per atom: -1.38


# K3Mg2TeO6 GGA-PBE optimized geometry
data_K3Mg2TeO6
_chemical_formula_sum 'K6 Mg4 Te2 O12'
_space_group_name_H-M_alt 'C 1 2/m 1'
_space_group_IT_number 12
_space_group_name_Hall '-C 2y'
_cell_length_a 5.614
_cell_length_b 9.733
_cell_length_c 6.417
_cell_angle_alpha 90.00
_cell_angle_beta 106.90
_cell_angle_gamma 90.00
loop_
_atom_site_label
_atom_site_type_symbol
_atom_site_fract_x
_atom_site_fract_y
_atom_site_fract_z
_atom_site_occupancy
K1 K 0.000 0.000 0.000 1
K2 K 0.000 0.329 0.000 1
Mg1 Mg 0.000 0.167 0.500 1
Te1 Te 0.000 0.500 0.500 1
O1 O 0.221 0.339 0.678 1
O2 O 0.238 0.000 0.680 1
# Size of the total moment, μB/cell: 1.485
# Electronic total energy, eV per cell: -120.47
# Raw formation energy, eV per atom: -1.74


In order of appearance, volume = 10.89 40.81 19.51 15.17 11.75 13.59 13.42 14.50 12.06 17.55 19.00 19.40 18.55 13.26 13.98 Å³ per atom.